# TmB2Rh3

Crystalline TmB2Rh3 at its relaxed geometry (GGA-PBE, the Alexandria database).

Computed properties:
Calculated density = 10.48 g cm⁻³
DFT total energy = -7.363 eV per atom
Energy of formation = -0.716 eV/atom
Space group = P6/mmm

Lattice parameters (Å, degrees): 3.123 5.407 5.407 120.00 90.00 90.00
Fractional coordinates of all 6 atoms:
Tm: 0.000 0.000 0.000
Rh: 0.500 0.000 0.500
Rh: 0.500 0.500 0.500
Rh: 0.500 0.500 0.000
B: 0.000 0.333 0.667
B: 0.000 0.667 0.333



# Tm2B10Rh

Crystalline Tm2B10Rh at its relaxed geometry (GGA-PBE, the Alexandria database).

Computed properties:
Calculated density = 6.91 g cm⁻³
DFT total energy = -6.878 eV per atom
Energy of formation = -0.488 eV/atom
Space group = Pbam

Lattice parameters (Å, degrees): 4.142 5.659 11.252 90.00 90.00 90.00
Fractional coordinates of all 26 atoms:
B: 0.000 0.119 0.542
B: 0.000 0.444 0.693
B: 0.000 0.863 0.302
B: 0.302 0.220 0.119
B: 0.698 0.720 0.381
B: 0.000 0.363 0.198
B: 0.698 0.780 0.881
Tm: 0.500 0.699 0.136
Rh: 0.000 0.000 0.000
B: 0.000 0.619 0.958
B: 0.000 0.881 0.458
B: 0.698 0.280 0.619
B: 0.302 0.280 0.619
B: 0.302 0.780 0.881
B: 0.000 0.944 0.807
B: 0.698 0.220 0.119
B: 0.000 0.056 0.193
Tm: 0.500 0.199 0.364
B: 0.302 0.720 0.381
B: 0.000 0.137 0.698
B: 0.000 0.381 0.042
B: 0.000 0.556 0.307
Tm: 0.500 0.301 0.864
Rh: 0.000 0.500 0.500
B: 0.000 0.637 0.802
Tm: 0.500 0.801 0.636



# Tm2BRh4

Crystalline Tm2BRh4 at its relaxed geometry (GGA-PBE, the Alexandria database).

Computed properties:
Calculated density = 10.59 g cm⁻³
DFT total energy = -7.099 eV per atom
Energy of formation = -0.667 eV/atom
Space group = I4/mmm

Lattice parameters (Å, degrees): 4.168 4.168 7.467 73.79 73.79 90.00
Fractional coordinates of all 7 atoms:
Tm: 0.351 0.351 0.297
Rh: 0.000 0.500 0.000
Rh: 0.500 0.000 0.000
Rh: 0.150 0.150 0.699
Tm: 0.649 0.649 0.703
Rh: 0.850 0.850 0.301
B: 0.000 0.000 0.000



# TmB4Rh4

Crystalline TmB4Rh4 at its relaxed geometry (GGA-PBE, the Alexandria database).

Computed properties:
Calculated density = 9.83 g cm⁻³
DFT total energy = -7.317 eV per atom
Energy of formation = -0.586 eV/atom
Space group = P4_2/nmc

Lattice parameters (Å, degrees): 5.324 5.324 7.438 90.00 90.00 90.00
Fractional coordinates of all 18 atoms:
B: 0.500 0.169 0.852
Tm: 0.500 0.500 0.500
Rh: 0.000 0.249 0.354
B: 0.831 0.500 0.148
B: 0.169 0.500 0.148
Rh: 0.500 0.251 0.146
B: 0.000 0.331 0.648
B: 0.000 0.669 0.648
Rh: 0.000 0.751 0.354
Rh: 0.251 0.500 0.854
Rh: 0.500 0.749 0.146
Rh: 0.751 0.000 0.646
Rh: 0.249 0.000 0.646
Rh: 0.749 0.500 0.854
B: 0.669 0.000 0.352
B: 0.500 0.831 0.852
B: 0.331 0.000 0.352
Tm: 0.000 0.000 0.000



# TmB4Rh

Crystalline TmB4Rh at its relaxed geometry (GGA-PBE, the Alexandria database).

Computed properties:
Calculated density = 8.19 g cm⁻³
DFT total energy = -5.973 eV per atom
Energy of formation = 0.450 eV/atom
Space group = F-43m

Lattice parameters (Å, degrees): 4.488 4.488 4.488 60.00 60.00 60.00
Fractional coordinates of all 6 atoms:
B: 0.598 0.598 0.598
B: 0.598 0.598 0.206
B: 0.206 0.598 0.598
Tm: 0.250 0.250 0.250
B: 0.598 0.206 0.598
Rh: 0.000 0.000 0.000



# TmB4Rh12

Crystalline TmB4Rh12 at its relaxed geometry (GGA-PBE, the Alexandria database).

Computed properties:
Calculated density = 10.30 g cm⁻³
DFT total energy = -7.184 eV per atom
Energy of formation = -0.161 eV/atom
Space group = Im-3

Lattice parameters (Å, degrees): 6.717 6.717 6.717 109.47 109.47 109.47
Fractional coordinates of all 17 atoms:
Rh: 0.828 0.319 0.148
Rh: 0.148 0.828 0.319
Rh: 0.172 0.681 0.852
B: 0.000 0.000 0.500
Rh: 0.852 0.172 0.681
B: 0.500 0.500 0.500
Rh: 0.681 0.509 0.828
B: 0.500 0.000 0.000
Rh: 0.681 0.852 0.172
Rh: 0.319 0.148 0.828
Rh: 0.491 0.172 0.319
Rh: 0.509 0.828 0.681
Rh: 0.828 0.681 0.509
Tm: 0.000 0.000 0.000
B: 0.000 0.500 0.000
Rh: 0.319 0.491 0.172
Rh: 0.172 0.319 0.491



# Tm2ZnBRh6

Crystalline Tm2ZnBRh6 at its relaxed geometry (GGA-PBE, the Alexandria database).

Computed properties:
Calculated density = 10.31 g cm⁻³
DFT total energy = -6.556 eV per atom
Energy of formation = -0.456 eV/atom
Space group = Immm

Lattice parameters (Å, degrees): 6.169 6.171 6.175 59.96 59.97 89.97
Fractional coordinates of all 10 atoms:
Rh: 0.268 0.732 0.000
Rh: 0.268 0.268 0.463
Tm: 0.250 0.750 0.500
Rh: 0.732 0.268 0.000
Rh: 0.268 0.269 0.000
Rh: 0.732 0.732 0.537
Rh: 0.732 0.731 0.000
Zn: 0.000 0.000 0.000
B: 0.500 0.500 0.000
Tm: 0.750 0.250 0.500



# Tm2ZnB2Rh5

Crystalline Tm2ZnB2Rh5 at its relaxed geometry (GGA-PBE, the Alexandria database).

Computed properties:
Calculated density = 11.03 g cm⁻³
DFT total energy = -6.842 eV per atom
Energy of formation = -0.809 eV/atom
Space group = P4/mbm

Lattice parameters (Å, degrees): 3.160 9.461 9.461 90.00 90.00 90.00
Fractional coordinates of all 20 atoms:
B: 0.000 0.376 0.124
Tm: 0.000 0.176 0.324
Rh: 0.500 0.000 0.500
Rh: 0.500 0.430 0.281
B: 0.000 0.124 0.624
Rh: 0.500 0.500 0.000
Rh: 0.500 0.719 0.430
Rh: 0.500 0.219 0.070
Rh: 0.500 0.781 0.930
Tm: 0.000 0.324 0.824
Tm: 0.000 0.824 0.676
Zn: 0.000 0.000 0.000
Rh: 0.500 0.930 0.219
Rh: 0.500 0.070 0.781
Rh: 0.500 0.281 0.570
Rh: 0.500 0.570 0.719
Zn: 0.000 0.500 0.500
Tm: 0.000 0.676 0.176
B: 0.000 0.624 0.876
B: 0.000 0.876 0.376